Record 1
Below is an optimized crystal structure of Pa4In2H, with properties calculated at the GGA-PBE level. Values from VASP.

Geometry as Quantum ESPRESSO input:
```
&SYSTEM
  ibrav = 0, nat = 7, ntyp = 3
/
ATOMIC_SPECIES
H 1.01 H.upf
In 114.82 In.upf
Pa 231.04 Pa.upf
CELL_PARAMETERS angstrom
4.573 0.000 0.000
0.000 4.573 0.000
2.286 2.286 7.965
ATOMIC_POSITIONS angstrom
H 0.000 0.000 0.000
In 4.573 4.573 5.589
Pa 2.286 0.000 0.000
Pa 2.286 2.286 5.530
In 2.286 2.286 2.376
Pa 4.573 4.573 2.436
Pa 0.000 2.286 0.000
```

Output
Magnetization in Bohr magnetons per cell: 0.0
VASP energy in eV per cell: -45.81
SG: I4/mmm

=====

Record 2
Below is an optimized crystal structure of Na2ScHg8, with properties calculated at the GGA-PBE level. Values from VASP.

Geometry as Quantum ESPRESSO input:
```
&SYSTEM
  ibrav = 0, nat = 11, ntyp = 3
/
ATOMIC_SPECIES
Na 22.99 Na.upf
Hg 200.59 Hg.upf
Sc 44.96 Sc.upf
CELL_PARAMETERS angstrom
4.863 0.000 -1.477
-0.894 6.616 -2.944
-0.087 -0.267 8.458
ATOMIC_POSITIONS angstrom
Na 3.562 1.811 2.983
Hg 1.561 0.822 5.139
Hg 4.516 1.657 6.125
Hg 2.321 5.526 -1.102
Hg 1.188 3.582 3.912
Na 0.320 4.538 1.055
Hg 2.694 2.767 0.126
Hg 3.256 5.344 1.975
Hg -0.634 4.692 -2.087
Hg 0.626 1.005 2.063
Sc 2.432 0.000 -0.738
```

Output
Energy of formation in eV per atom: -0.17
Magnetization in Bohr magnetons per cell: 0.0
VASP energy in eV per cell: -13.28
SG: Immm

=====

Record 3
Below is an optimized crystal structure of ZrSiAs4, with properties calculated at the GGA-PBE level. Values from VASP.

Geometry as Quantum ESPRESSO input:
```
&SYSTEM
  ibrav = 0, nat = 6, ntyp = 3
/
ATOMIC_SPECIES
As 74.92 As.upf
Si 28.09 Si.upf
Zr 91.22 Zr.upf
CELL_PARAMETERS angstrom
-2.138 -3.432 3.711
-4.514 -2.879 -1.205
0.329 -5.425 -0.768
ATOMIC_POSITIONS angstrom
As -2.204 -7.118 0.265
As -2.369 -4.396 0.651
As -4.634 -5.841 0.046
Si -4.743 -8.802 1.303
Zr 0.000 0.000 0.000
As -3.442 -6.118 2.513
```

Output
Formation energy without anion corrections in kJ/mol of formula units: 173
Magnetization in Bohr magnetons per cell: 0.0
VASP energy in eV per cell: -30.78
SG: F-43m